Density functional theory data (PBE-GGA) for an optimized crystal structure of La2Tl2Co.

Calculated values
* density: 9.12 g/cm3
* ΔE_f: 0.15 eV per formula unit
* V: 136 Å³/f.u.
* E_tot: -4.31 eV per atom

a b c (Å): 7.3571 7.3571 5.0136
angles (deg): 90.00 90.00 90.00
With the nearest neighbours (Å) after each atom.
Sites, in units of the cell vectors:
Tl 0.3470 0.8470 0.0000  2 Co 2.79
Tl 0.8470 0.6530 0.0000  2 Co 2.79
Tl 0.6530 0.1530 0.0000  2 Co 2.79
Tl 0.1530 0.3470 0.0000  2 Co 2.79
Co 0.0000 0.0000 0.0000  4 Tl 2.79
Co 0.5000 0.5000 0.0000  4 Tl 2.79
La 0.1585 0.6585 0.5000  6 Tl 3.18-3.40, 1 La 3.30
La 0.6585 0.8415 0.5000  6 Tl 3.18-3.40, 1 La 3.30
La 0.8415 0.3415 0.5000  6 Tl 3.18-3.40, 1 La 3.30
La 0.3415 0.1585 0.5000  6 Tl 3.18-3.40, 1 La 3.30